Rb2NiBr6O PBE+U optimized geometry; E_tot = -2.5455 eV/atom; total magnetization = 0.1951 μB per atom; DOS(E_F) = 0.260 states/eV per atom
1.0
-3.564 3.564 5.831
3.564 -3.564 5.831
3.564 3.564 -5.831
Rb Ni Br O
2 1 6 1
direct
0.250 0.750 0.500 Rb
0.750 0.250 0.500 Rb
0.000 0.000 0.000 Ni
0.205 0.205 0.000 Br
0.272 0.272 0.545 Br
0.272 0.728 0.000 Br
0.728 0.272 0.000 Br
0.728 0.728 0.455 Br
0.795 0.795 0.000 Br
0.500 0.500 0.000 O